## SrTlIn2Ni (PBE)

Data for a relaxed structure of SrTlIn2Ni.

Cell and atoms, written as POSCAR:
```
SrTlIn2Ni
1.0
5.0717 0.0000 0.0000
0.0000 5.0717 0.0000
0.0000 0.0000 5.1690
Sr Tl In Ni
1 1 2 1
Direct
0.0000 0.0000 0.0000
0.5000 0.5000 0.0000
0.0000 0.5000 0.5000
0.5000 0.0000 0.5000
0.5000 0.5000 0.5000
```

Calculated values
V: 133.0 Å³/cell
formation enthalpy at 0 K: -0.1793 eV/atom
density: 7.25 g/cm3
D(E_F): 3.05 states/eV/f.u.


## Sr2TlInNi (PBE)

Data for a relaxed structure of Sr2TlInNi.

Cell and atoms, written as POSCAR:
```
Sr2TlInNi
1.0
5.7226 0.0000 0.0000
0.0000 5.7226 0.0000
0.0000 0.0000 4.9443
Sr Tl In Ni
2 1 1 1
Direct
0.0000 0.5000 0.0000
0.5000 0.0000 0.0000
0.0000 0.0000 0.5000
0.5000 0.5000 0.5000
0.5000 0.5000 0.0000
```

Calculated values
V: 161.9 Å³/cell
formation enthalpy at 0 K: -0.2022 eV/atom
density: 5.67 g/cm3
D(E_F): 4.26 states/eV/f.u.


## SrTlIn2Ni (PBE)

Data for a relaxed structure of SrTlIn2Ni.

Cell and atoms, written as POSCAR:
```
SrTlIn2Ni
1.0
5.0324 0.0000 0.0000
0.0000 5.0324 0.0000
0.0000 0.0000 5.5652
Sr Tl In Ni
1 1 2 1
Direct
0.0000 0.0000 0.0000
0.5000 0.5000 0.0000
0.0000 0.5000 0.5000
0.5000 0.0000 0.5000
0.0000 0.0000 0.5000
```

Calculated values
V: 140.9 Å³/cell
formation enthalpy at 0 K: -0.1794 eV/atom
density: 6.84 g/cm3
D(E_F): 2.47 states/eV/f.u.


## SrInNiW2 (PBE)

Data for a relaxed structure of SrInNiW2.

Cell and atoms, written as POSCAR:
```
SrInNiW2
1.0
4.7132 0.0000 0.0000
0.0000 4.7132 0.0000
0.0000 0.0000 4.9390
Sr In Ni W
1 1 1 2
Direct
0.0000 0.0000 0.0000
0.5000 0.5000 0.0000
0.5000 0.5000 0.5000
0.0000 0.5000 0.5000
0.5000 0.0000 0.5000
```

Calculated values
V: 109.7 Å³/cell
formation enthalpy at 0 K: 1.1628 eV/atom
density: 9.52 g/cm3
D(E_F): 7.98 states/eV/f.u.


## Sr2YIn12Ni3 (PBE)

Data for a relaxed structure of Sr2YIn12Ni3.

Cell and atoms, written as POSCAR:
```
Sr2YIn12Ni3
1.0
4.6707 2.6966 6.7826
-4.6707 2.6966 6.7826
0.0000 -5.3932 6.7826
Sr Y In Ni
2 1 12 3
Direct
0.0867 0.0867 0.0867
0.9133 0.9133 0.9133
0.5000 0.5000 0.5000
0.0561 0.6562 0.6562
0.2249 0.2249 0.6073
0.2249 0.6073 0.2249
0.3438 0.3438 0.9439
0.3438 0.9439 0.3438
0.3927 0.7751 0.7751
0.6073 0.2249 0.2249
0.6562 0.0561 0.6562
0.6562 0.6562 0.0561
0.7751 0.3927 0.7751
0.7751 0.7751 0.3927
0.9439 0.3438 0.3438
0.0000 0.5000 0.5000
0.5000 0.0000 0.5000
0.5000 0.5000 0.0000
```

Calculated values
V: 512.6 Å³/cell
formation enthalpy at 0 K: -0.0473 eV/atom
density: 5.89 g/cm3
D(E_F): 9.39 states/eV/f.u.


## SrZn2InNi (PBE)

Data for a relaxed structure of SrZn2InNi.

Cell and atoms, written as POSCAR:
```
SrZn2InNi
1.0
4.7847 0.0000 0.0000
0.0000 4.7847 0.0000
0.0000 0.0000 4.9091
Sr Zn In Ni
1 2 1 1
Direct
0.0000 0.0000 0.0000
0.0000 0.5000 0.5000
0.5000 0.0000 0.5000
0.5000 0.5000 0.0000
0.5000 0.5000 0.5000
```

Calculated values
V: 112.4 Å³/cell
formation enthalpy at 0 K: -0.1940 eV/atom
density: 5.79 g/cm3
D(E_F): 3.04 states/eV/f.u.